4
Lattice="-1.672 -2.733 0.859 4.111 -2.134 1.215 -0.450 1.680 4.470" Properties=species:S:1:pos:R:3 comment="CdTeW2 (GGA-PBE, optimized geometry)" m_tot_mub_per_fu=0.00 crystal_system=orthorhombic formation_energy_uncorrected_ev_per_atom=0.9952 e_tot_ev_per_fu=-25.98 polymorph_energy_ev_per_atom=0.563 pbc="T T T"
Cd -1.061 -0.526 2.665
W 1.219 -2.433 1.037
W 0.000 0.000 0.000
Te 1.831 -0.227 2.843